VASP calculation (GGA-PBE) on a relaxed structure of YBe2Os.

a = 4.324 Å, b = 4.324 Å, c = 4.324 Å
α = 60.00°, β = 60.00°, γ = 60.00°
Fractional coordinates of all 4 atoms:
Y  0.000  0.000  0.000
Be  0.250  0.250  0.250
Be  0.750  0.750  0.750
Os  0.500  0.500  0.500

Computed properties:
E_form   0.07 eV/atom
SG   No. 225